1.
The following is a DFT calculation (GGA-PBE) of a relaxed structure of Na2AlPbS4.

The value obtained for the uncorrected formation energy is -6.48 eV per formula unit. Its symmetry is I-42m. The calculated volume is 196 Å³ per cell.

abc: 7.546 6.354 6.354
angles: 65.77 53.57 53.57
Atoms (fractional coordinates):
Al1 0.000 0.500 0.500
S1 0.342 0.130 0.529
S2 0.658 0.471 0.870
S3 0.000 0.870 0.471
S4 0.000 0.529 0.130
Na1 0.500 0.250 0.750
Pb1 0.000 0.000 0.000
Na2 0.500 0.750 0.250

---

2.
The following is a DFT calculation (GGA-PBE) of a relaxed structure of NaAlPbSe2.

The value obtained for the uncorrected formation energy is 1.74 eV per formula unit. Its symmetry is P4/mmm. The calculated volume is 176 Å³ per cell.

abc: 5.657 5.492 5.657
angles: 90.00 90.00 90.00
Atoms (fractional coordinates):
Al1 0.500 0.500 0.500
Se1 0.500 0.000 0.000
Pb1 0.000 0.000 0.000
Se2 0.000 0.000 0.500
Na1 0.000 0.500 0.000

---

3.
The following is a DFT calculation (GGA-PBE) of a relaxed structure of NaY2AlPb.

The value obtained for the formation energy is 17.05 kcal/mol of atoms. Its symmetry is P4/mmm. The calculated volume is 153 Å³ per cell.

abc: 5.443 5.172 5.443
angles: 90.00 90.00 90.00
Atoms (fractional coordinates):
Y1 0.500 0.000 0.000
Y2 0.000 0.000 0.500
Na1 0.000 0.000 0.000
Pb1 0.000 0.500 0.000
Al1 0.500 0.500 0.500